# 1
DFT (PBE) results for TbSm2Tm after structural relaxation.

Structure (POSCAR):
```
TbSm2Tm
1.0
-5.6289 0.2979 -0.9060
1.4555 -5.9580 -11.0026
-0.8808 -6.4215 3.3608
Tb Sm Tm
4 8 4
direct
0.9432 0.1679 0.2500
0.4432 0.3321 0.7500
0.9432 0.6679 0.2500
0.4432 0.8321 0.7500
0.4431 0.0840 0.5008
0.9434 0.9160 0.0009
0.9434 0.4160 0.4991
0.4434 0.0840 0.9991
0.4431 0.5840 0.9992
0.9431 0.9160 0.4992
0.4434 0.5840 0.5009
0.9431 0.4160 0.0008
0.9433 0.1673 0.7500
0.4433 0.3327 0.2500
0.4433 0.8327 0.2500
0.9433 0.6673 0.7500
```

Summary:
ΔE to the lowest computed polymorph in eV/atom: 0.002
Calculated formation energy in eV/atom: 0.018
Space group: Pmmn
Total energy in eV/atom: -4.6168



# 2
DFT (PBE) results for MgFe2Sn after structural relaxation.

Structure (POSCAR):
```
MgFe2Sn
1.0
-0.0903 2.8277 -6.5839
5.1080 -4.5922 -2.0424
0.5856 -2.6883 -5.0624
Mg Sn Fe
2 2 4
direct
0.5000 0.5000 0.0000
0.2500 0.7500 0.5000
0.7500 0.2500 0.5000
0.0000 0.0000 0.0000
0.6284 0.1250 0.2500
0.3750 0.3716 0.7500
0.1216 0.6250 0.2500
0.8750 0.8784 0.7500
```

Summary:
Calculated formation energy in eV/atom: 0.549
Space group: I-42d
Total energy in eV/atom: -5.0815



# 3
DFT (PBE) results for NaLi2F after structural relaxation.

Structure (POSCAR):
```
NaLi2F
1.0
-2.4196 -5.5627 -1.4660
5.6993 -2.1020 -1.4307
2.1947 -5.1767 2.7373
Na F Li
2 2 4
direct
0.7500 0.2500 0.5000
0.0000 0.0000 0.0000
0.5000 0.5000 0.0000
0.2500 0.7500 0.5000
0.3750 0.6224 0.7500
0.3776 0.1250 0.2500
0.3724 0.6250 0.2500
0.8750 0.6276 0.7500
```

Summary:
ΔE to the lowest computed polymorph in eV/atom: 0.000
Space group: I-42d
E_form (uncorrected) in meV/atom: -1319
Total energy in eV/atom: -3.0731



# 4
DFT (PBE) results for HfS2BrN after structural relaxation.

Structure (POSCAR):
```
HfS2BrN
1.0
4.7500 0.0000 0.0000
0.0000 4.7500 0.0000
0.0000 0.0000 3.8257
Hf N S Br
1 1 2 1
direct
0.5000 0.5000 0.5000
0.0000 0.0000 0.5000
0.0000 0.5000 0.0000
0.5000 0.0000 0.0000
0.0000 0.0000 0.0000
```

Summary:
ΔE to the lowest computed polymorph in eV/atom: 1.027
Space group: P4/mmm
E_form (uncorrected) in meV/atom: 1157
Total energy in eV/atom: -4.4847



# 5
DFT (PBE) results for Sc2FePd after structural relaxation.

Structure (POSCAR):
```
Sc2FePd
1.0
6.4774 4.4070 4.3176
7.8616 1.7024 3.9136
7.9204 3.8025 1.6819
Pd Fe Sc
1 1 2
direct
0.0000 0.0000 0.0000
0.5000 0.5000 0.5000
0.0960 0.0960 0.0960
0.9040 0.9040 0.9040
```

Summary:
Calculated formation energy in eV/atom: 0.033
Space group: R-3m
Total energy in eV/atom: -6.5468



# 6
DFT (PBE) results for Th3Ni3As4 after structural relaxation.

Structure (POSCAR):
```
Th3Ni3As4
1.0
-1.9898 6.6261 3.9790
-6.4086 -4.7037 -0.7079
5.7211 -3.8810 3.9878
As Th Ni
8 6 6
direct
0.0000 0.0000 0.8397
0.3397 0.5000 0.0000
0.5000 0.3397 0.5000
0.8397 0.5000 0.0000
0.6603 0.1603 0.1603
0.5000 0.8397 0.5000
0.1603 0.6603 0.6603
0.0000 0.0000 0.3397
0.8750 0.2500 0.6250
0.3750 0.1250 0.7500
0.7500 0.6250 0.3750
0.6250 0.7500 0.8750
0.2500 0.8750 0.1250
0.1250 0.3750 0.2500
0.6250 0.8750 0.2500
0.3750 0.2500 0.1250
0.8750 0.6250 0.7500
0.2500 0.3750 0.6250
0.7500 0.1250 0.8750
0.1250 0.7500 0.3750
```

Summary:
Calculated formation energy in eV/atom: -1.076
Space group: I-43d
Total energy in eV/atom: -6.8962



Please write out number 4 again, unchanged.
DFT (PBE) results for HfS2BrN after structural relaxation.

Structure (POSCAR):
```
HfS2BrN
1.0
4.7500 0.0000 0.0000
0.0000 4.7500 0.0000
0.0000 0.0000 3.8257
Hf N S Br
1 1 2 1
direct
0.5000 0.5000 0.5000
0.0000 0.0000 0.5000
0.0000 0.5000 0.0000
0.5000 0.0000 0.0000
0.0000 0.0000 0.0000
```

Summary:
ΔE to the lowest computed polymorph in eV/atom: 1.027
Space group: P4/mmm
E_form (uncorrected) in meV/atom: 1157
Total energy in eV/atom: -4.4847